[1]
Below is a geometry-optimized HfCdAs2Se structure, with properties calculated at the PBE level.

abc: 5.2114 5.2114 5.1094
angles: 90.00 90.00 90.00
Sites, in units of the cell vectors:
As 0.5000 0.0000 0.0000
As 0.0000 0.5000 0.0000
Cd 0.5000 0.5000 0.5000
Se 0.0000 0.0000 0.5000
Hf 0.0000 0.0000 0.0000

E (eV for the cell shown): -23.59
Total magnetization (μB per formula unit): 0.00
Energy above the lowest structure with this stoichiometry (meV per atom): 0.0
Density of states at the Fermi level (states/eV/cell): 5.78
Space group: P4/mmm, No. 123
Energy relative to the elements, uncorrected (kJ/mol of formula units): 6

---

[2]
Below is a geometry-optimized Tb5Pb2N structure, with properties calculated at the PBE level.

abc: 4.7417 8.8411 12.3097
angles: 90.00 90.00 105.55
Sites, in units of the cell vectors:
Tb 0.2695 0.5391 0.7500
Tb 0.6955 0.3910 0.9160
Tb 0.7305 0.4609 0.2500
Tb 0.3045 0.6090 0.4160
Tb 0.3045 0.6090 0.0840
Tb 0.6955 0.3910 0.5840
Tb 0.1121 0.2243 0.3848
Tb 0.8879 0.7757 0.6152
Tb 0.1121 0.2243 0.1152
Tb 0.8879 0.7757 0.8848
Pb 0.0732 0.1464 0.8686
Pb 0.9268 0.8536 0.3686
Pb 0.0732 0.1464 0.6314
Pb 0.9268 0.8536 0.1314
N 0.2145 0.4290 0.2500
N 0.7855 0.5710 0.7500

E (eV for the cell shown): -82.21
Total magnetization (μB per formula unit): 0.00
Density of states at the Fermi level (states/eV/cell): 15.08
Space group: Cmcm, No. 63
Energy relative to the elements, uncorrected (kJ/mol of formula units): -213

---

[3]
Below is a geometry-optimized Tb12In3H5 structure, with properties calculated at the PBE level.

abc: 13.5797 13.5797 13.5797
angles: 109.47 109.47 109.47
Sites, in units of the cell vectors:
Tb 0.0964 0.1924 0.2050
Tb 0.4040 0.3915 0.5964
Tb 0.6924 0.4874 0.5960
Tb 0.0964 0.9040 0.3915
Tb 0.0126 0.4040 0.8076
Tb 0.1085 0.7050 0.5126
Tb 0.9036 0.0960 0.6085
Tb 0.9036 0.8076 0.7950
Tb 0.0126 0.6085 0.7050
Tb 0.0960 0.9036 0.1085
Tb 0.7050 0.1085 0.0126
Tb 0.0960 0.1924 0.4874
Tb 0.9040 0.0964 0.8915
Tb 0.7950 0.4874 0.3915
Tb 0.7950 0.3076 0.9036
Tb 0.7050 0.5964 0.1924
Tb 0.5964 0.8915 0.4040
Tb 0.4040 0.0126 0.3076
Tb 0.1085 0.4036 0.0960
Tb 0.1924 0.0960 0.9874
Tb 0.5964 0.7050 0.6924
Tb 0.5960 0.9874 0.6924
Tb 0.8076 0.9036 0.2950
Tb 0.5126 0.2050 0.1085
Tb 0.2050 0.5126 0.6085
Tb 0.4036 0.1085 0.5960
Tb 0.6085 0.5960 0.9036
Tb 0.8915 0.2950 0.4874
Tb 0.8915 0.5964 0.9040
Tb 0.4036 0.2950 0.3076
Tb 0.6085 0.0126 0.2050
Tb 0.9874 0.3915 0.2950
Tb 0.5126 0.3076 0.9040
Tb 0.8076 0.9040 0.0126
Tb 0.2950 0.8915 0.9874
Tb 0.3915 0.4040 0.0964
Tb 0.4874 0.7950 0.8915
Tb 0.1924 0.0964 0.7050
Tb 0.9874 0.5960 0.1924
Tb 0.2950 0.4036 0.8076
Tb 0.3915 0.9874 0.7950
Tb 0.2050 0.6924 0.0964
Tb 0.3076 0.5126 0.4040
Tb 0.6924 0.2050 0.5964
Tb 0.5960 0.6085 0.4036
Tb 0.9040 0.8076 0.5126
Tb 0.4874 0.6924 0.0960
Tb 0.3076 0.7950 0.4036
H 0.0000 0.0000 0.5000
H 0.1250 0.3750 0.2500
H 0.6250 0.7500 0.8750
H 0.3750 0.1250 0.7500
H 0.2500 0.3750 0.6250
H 0.5000 0.5000 0.5000
H 0.5000 0.0000 0.0000
H 0.0000 0.0000 0.0000
H 0.2500 0.8750 0.1250
H 0.0000 0.5000 0.5000
H 0.8750 0.6250 0.7500
H 0.7500 0.1250 0.8750
H 0.5000 0.0000 0.5000
H 0.8750 0.2500 0.6250
H 0.0000 0.5000 0.0000
H 0.5000 0.5000 0.0000
H 0.6250 0.8750 0.2500
H 0.3750 0.2500 0.1250
H 0.1250 0.7500 0.3750
H 0.7500 0.6250 0.3750
In 0.2500 0.1250 0.3750
In 0.6250 0.3750 0.7500
In 0.8750 0.1250 0.2500
In 0.7500 0.3750 0.1250
In 0.7500 0.8750 0.6250
In 0.2500 0.6250 0.8750
In 0.1250 0.2500 0.8750
In 0.8750 0.7500 0.1250
In 0.6250 0.2500 0.3750
In 0.1250 0.8750 0.7500
In 0.3750 0.7500 0.6250
In 0.3750 0.6250 0.2500

E (eV for the cell shown): -341.48
Total magnetization (μB per formula unit): 0.00
Density of states at the Fermi level (states/eV/cell): 74.17
Space group: Ia-3d, No. 230

---

[4]
Below is a geometry-optimized Ba2SrTl structure, with properties calculated at the PBE level.

abc: 6.7522 6.7522 6.7522
angles: 129.67 129.67 73.94
Sites, in units of the cell vectors:
Ba 0.0000 0.0000 0.0000
Ba 0.2500 0.7500 0.5000
Sr 0.5000 0.5000 0.0000
Tl 0.7500 0.2500 0.5000

E (eV for the cell shown): -8.26
Total magnetization (μB per formula unit): 0.58
Formation energy (eV per atom): -0.092
Energy above the lowest structure with this stoichiometry (meV per atom): 128.6
Density of states at the Fermi level (states/eV/cell): 4.10
Space group: I-4m2, No. 119

---

[5]
Below is a geometry-optimized ZnReNi14 structure, with properties calculated at the PBE level.

abc: 5.0416 5.0416 7.0715
angles: 90.00 90.00 90.00
Sites, in units of the cell vectors:
Ni 0.8750 0.3750 0.5000
Ni 0.1266 0.1266 0.7539
Ni 0.8750 0.3750 0.0000
Ni 0.3750 0.8750 0.0000
Ni 0.6234 0.1266 0.7539
Ni 0.6234 0.6234 0.2461
Ni 0.3750 0.3750 0.0000
Ni 0.6234 0.1266 0.2461
Ni 0.3750 0.8750 0.5000
Ni 0.1266 0.6234 0.2461
Ni 0.1266 0.1266 0.2461
Ni 0.1266 0.6234 0.7539
Ni 0.6234 0.6234 0.7539
Ni 0.8750 0.8750 0.0000
Zn 0.8750 0.8750 0.5000
Re 0.3750 0.3750 0.5000

E (eV for the cell shown): -95.09
Total magnetization (μB per formula unit): 5.05
Formation energy (eV per atom): -0.027
Density of states at the Fermi level (states/eV/cell): 25.12
Space group: P4/mmm, No. 123

---

[6]
Below is a geometry-optimized Ta3Cd structure, with properties calculated at the PBE level.

abc: 5.6201 5.6201 5.6201
angles: 117.30 117.30 117.30
Sites, in units of the cell vectors:
Cd 0.0000 0.0000 0.0000
Ta 0.0000 0.5000 0.5000
Ta 0.5000 0.0000 0.5000
Ta 0.5000 0.5000 0.0000

E (eV for the cell shown): -35.58
Total magnetization (μB per formula unit): 0.00
Formation energy (eV per atom): 0.223
Energy above the lowest structure with this stoichiometry (meV per atom): 106.6
Density of states at the Fermi level (states/eV/cell): 2.79
Space group: R-3m, No. 166

---

[7]
Below is a geometry-optimized AsP2IrAu structure, with properties calculated at the PBE level.

abc: 4.5878 4.7722 4.5878
angles: 90.00 90.00 90.00
Sites, in units of the cell vectors:
P 0.5000 0.0000 0.0000
P 0.0000 0.0000 0.5000
Ir 0.5000 0.5000 0.5000
Au 0.0000 0.5000 0.0000
As 0.0000 0.0000 0.0000

E (eV for the cell shown): -20.36
Total magnetization (μB per formula unit): 0.00
Formation energy (eV per atom): 1.451
Density of states at the Fermi level (states/eV/cell): 4.70
Space group: P4/mmm, No. 123

---

[8]
Below is a geometry-optimized TlSn2I6 structure, with properties calculated at the PBE level.

abc: 8.3394 8.3394 10.1230
angles: 65.68 65.68 60.00
Sites, in units of the cell vectors:
I 0.7242 0.4636 0.7184
I 0.2917 0.5076 0.2838
I 0.4636 0.0939 0.7184
I 0.5076 0.9169 0.2838
I 0.9169 0.2917 0.2838
I 0.0939 0.7242 0.7184
Sn 0.6087 0.6087 0.1738
Sn 0.7231 0.7231 0.8306
Tl 0.3360 0.3360 0.9921

E (eV for the cell shown): -23.21
Total magnetization (μB per formula unit): 0.00
Energy above the lowest structure with this stoichiometry (meV per atom): 58.0
Density of states at the Fermi level (states/eV/cell): 6.95
Space group: R3, No. 146
Energy relative to the elements, uncorrected (kJ/mol of formula units): -342